Entry 1:
In2AgBi2 | GGA-PBE | relaxed

Output
- distance to the lowest polymorph of the same formula (meV per atom) = 47
- N(E_F) (states/eV per atom) = 0.4906

Unit cell a=7.564 b=7.564 c=4.879 alpha=90.00 beta=90.00 gamma=90.00
Positions (direct):
1 Bi 0.188 0.688 0.500
2 Bi 0.688 0.812 0.500
3 Bi 0.812 0.312 0.500
4 Bi 0.312 0.188 0.500
5 Ag 0.000 0.000 0.000
6 Ag 0.500 0.500 0.000
7 In 0.364 0.864 0.000
8 In 0.864 0.636 0.000
9 In 0.636 0.136 0.000
10 In 0.136 0.364 0.000


Entry 2:
InAgBi | GGA-PBE | relaxed

Output
- N(E_F) (states/eV per atom) = 0.3695

Unit cell a=5.129 b=5.129 c=3.484 alpha=90.00 beta=90.00 gamma=120.00
Positions (direct):
1 Bi 0.000 0.000 0.122
2 Ag 0.667 0.333 0.292
3 In 0.333 0.667 0.586


Entry 3:
In4AgBi | GGA-PBE | relaxed

Output
- N(E_F) (states/eV per atom) = 0.3514

Unit cell a=5.596 b=7.731 c=9.003 alpha=115.43 beta=109.19 gamma=90.00
Positions (direct):
1 In 0.818 0.319 0.637
2 In 0.623 0.345 0.242
3 In 0.000 0.183 0.000
4 In 0.377 0.103 0.758
5 In 0.182 0.681 0.363
6 In 0.377 0.655 0.758
7 In 0.000 0.817 0.000
8 In 0.623 0.897 0.242
9 Ag 0.746 0.501 0.001
10 Ag 0.254 0.499 0.999
11 Bi 0.202 0.208 0.417
12 Bi 0.798 0.792 0.583


Record order is preserved below.
Total magnetic moment: 0.0 0.0 0.0 μB per cell
Record order is preserved below.
Formation energy: 0.17 0.10 0.05 eV/atom